TcGeS2 after structural relaxation, computed with GGA-PBEsol.

## Properties
* crystal system: trigonal
* total energy: -6.454 eV/atom
* formation energy without anion corrections: -0.84 eV per formula unit

CIF file:
```
data_TcGeS2
_cell_length_a 8.7133
_cell_length_b 8.7133
_cell_length_c 8.7133
_cell_angle_alpha 20.12
_cell_angle_beta 20.12
_cell_angle_gamma 20.12
_symmetry_space_group_name_H-M 'P 1'
_symmetry_Int_Tables_number 1
_symmetry_space_group_name_Hall 'P 1'
loop_
_atom_site_label
_atom_site_type_symbol
_atom_site_fract_x
_atom_site_fract_y
_atom_site_fract_z
Tc1 Tc 0.0000 0.0000 0.0000
Ge1 Ge 0.5000 0.5000 0.5000
S1 S 0.3964 0.3964 0.3964
S2 S 0.6036 0.6036 0.6036
```